No. 1
Material: Sm2HoIn2
Method: DFT, PBE-GGA
State: optimized geometry

Computed properties:
energy relative to the elements = -0.371 eV/atom
total moment = 0.0000 μB per atom
calculated total energy = -21.350 eV for the cell shown
space group = No. 71

Structure (POSCAR):
```
Sm2HoIn2
1.0
4.972 0.000 0.000
2.486 5.499 -0.203
2.486 1.277 5.353
In Sm Ho
2 2 1
direct
0.500 0.712 0.288 In
0.500 0.288 0.712 In
0.193 0.307 0.307 Sm
0.807 0.693 0.693 Sm
0.000 0.000 0.000 Ho
```


No. 2
Material: Sm8Ho2In
Method: DFT, PBE-GGA
State: optimized geometry

Computed properties:
energy relative to the elements = 0.062 eV/atom
total moment = 0.0000 μB per atom
calculated total energy = -48.961 eV for the cell shown
space group = No. 10

Structure (POSCAR):
```
Sm8Ho2In
1.0
5.387 -0.112 0.074
0.132 9.178 4.783
-0.077 1.552 8.224
Sm In Ho
8 1 2
direct
0.000 0.663 0.000 Sm
0.500 0.296 0.729 Sm
0.000 0.247 0.499 Sm
0.000 0.331 0.000 Sm
0.500 0.698 0.271 Sm
0.500 0.025 0.271 Sm
0.000 0.747 0.501 Sm
0.500 0.969 0.729 Sm
0.000 0.997 0.000 In
0.500 0.618 0.758 Ho
0.500 0.376 0.242 Ho
```


No. 3
Material: Sm3Ho2In
Method: DFT, PBE-GGA
State: optimized geometry

Computed properties:
energy relative to the elements = -0.157 eV/atom
total moment = 0.0000 μB per atom
calculated total energy = -26.995 eV for the cell shown
space group = No. 65

Structure (POSCAR):
```
Sm3Ho2In
1.0
-2.563 3.186 -2.697
2.961 -0.875 -3.848
-6.071 -5.167 -0.334
Sm In Ho
3 1 2
direct
0.500 0.831 0.662 Sm
0.500 0.500 0.000 Sm
0.500 0.169 0.338 Sm
0.000 0.000 0.000 In
0.000 0.662 0.325 Ho
0.000 0.338 0.675 Ho
```


No. 4
Material: Sm6HoIn2
Method: DFT, PBE-GGA
State: optimized geometry

Computed properties:
energy relative to the elements = -0.198 eV/atom
total moment = 0.0000 μB per atom
calculated total energy = -40.150 eV for the cell shown
space group = No. 12

Structure (POSCAR):
```
Sm6HoIn2
1.0
0.411 1.883 3.288
5.768 -2.208 2.752
8.303 7.838 -3.315
Sm In Ho
6 2 1
direct
0.308 0.796 0.589 Sm
0.317 0.489 0.877 Sm
0.984 0.692 0.340 Sm
0.683 0.511 0.123 Sm
0.692 0.204 0.411 Sm
0.016 0.308 0.660 Sm
0.641 0.918 0.800 In
0.359 0.082 0.200 In
0.000 0.000 0.000 Ho
```


No. 5
Material: Sm2HoIn9
Method: DFT, PBE-GGA
State: optimized geometry

Computed properties:
energy relative to the elements = -0.439 eV/atom
total moment = 0.0000 μB per atom
calculated total energy = -43.931 eV for the cell shown
space group = No. 123

Structure (POSCAR):
```
Sm2HoIn9
1.0
-2.664 1.843 3.359
1.536 -3.234 2.993
10.526 8.440 3.717
In Sm Ho
9 2 1
direct
0.000 0.500 0.500 In
0.000 0.500 0.164 In
0.500 0.000 0.500 In
0.000 0.500 0.836 In
0.500 0.500 0.333 In
0.500 0.500 0.667 In
0.500 0.000 0.164 In
0.500 0.000 0.836 In
0.500 0.500 0.000 In
0.000 0.000 0.332 Sm
0.000 0.000 0.668 Sm
0.000 0.000 0.000 Ho
```


No. 6
Material: Sm5Ho2In4
Method: DFT, PBE-GGA
State: optimized geometry

Computed properties:
energy relative to the elements = -0.276 eV/atom
total moment = 0.0148 μB per atom
calculated total energy = -46.743 eV for the cell shown
space group = No. 10

Structure (POSCAR):
```
Sm5Ho2In4
1.0
3.434 0.000 0.000
0.000 8.718 -0.078
0.000 1.135 10.596
Ho In Sm
2 4 5
direct
0.000 0.918 0.638 Ho
0.000 0.082 0.362 Ho
0.500 0.243 0.576 In
0.500 0.800 0.877 In
0.500 0.200 0.123 In
0.500 0.757 0.424 In
0.000 0.159 0.858 Sm
0.000 0.538 0.666 Sm
0.000 0.841 0.142 Sm
0.000 0.500 0.000 Sm
0.000 0.462 0.334 Sm
```


No. 7
Material: Sm2HoIn3
Method: DFT, PBE-GGA
State: optimized geometry

Computed properties:
energy relative to the elements = -0.308 eV/atom
total moment = 0.0000 μB per atom
calculated total energy = -48.154 eV for the cell shown
space group = No. 63

Structure (POSCAR):
```
Sm2HoIn3
1.0
-1.530 0.487 3.317
-2.916 -5.874 -0.482
12.372 -6.521 4.618
Sm In Ho
4 6 2
direct
0.005 0.250 0.009 Sm
0.848 0.250 0.695 Sm
0.995 0.750 0.991 Sm
0.152 0.750 0.305 Sm
0.577 0.508 0.155 In
0.423 0.492 0.845 In
0.577 0.992 0.155 In
0.256 0.250 0.512 In
0.423 0.008 0.845 In
0.744 0.750 0.488 In
0.331 0.750 0.661 Ho
0.669 0.250 0.339 Ho
```


No. 8
Material: SmHo6In3
Method: DFT, PBE-GGA
State: optimized geometry

Computed properties:
energy relative to the elements = -0.134 eV/atom
total moment = 0.0000 μB per atom
calculated total energy = -83.477 eV for the cell shown
space group = No. 36

Structure (POSCAR):
```
SmHo6In3
1.0
-5.246 -1.914 -5.294
6.529 -4.250 -4.933
-3.909 -5.830 5.981
Ho Sm In
12 2 6
direct
0.606 0.235 0.301 Ho
0.294 0.075 0.449 Ho
0.297 0.951 0.049 Ho
0.794 0.925 0.551 Ho
0.106 0.765 0.699 Ho
0.797 0.049 0.951 Ho
0.625 0.300 0.700 Ho
0.294 0.551 0.925 Ho
0.794 0.449 0.075 Ho
0.125 0.700 0.300 Ho
0.606 0.699 0.765 Ho
0.106 0.301 0.235 Ho
0.081 0.216 0.784 Sm
0.581 0.784 0.216 Sm
0.431 0.280 0.014 In
0.320 0.446 0.554 In
0.931 0.014 0.280 In
0.431 0.986 0.720 In
0.820 0.554 0.446 In
0.931 0.720 0.986 In
```


No. 9
Material: Sm3HoIn4
Method: DFT, PBE-GGA
State: optimized geometry

Computed properties:
energy relative to the elements = -0.484 eV/atom
total moment = 0.0000 μB per atom
calculated total energy = -33.560 eV for the cell shown
space group = No. 123

Structure (POSCAR):
```
Sm3HoIn4
1.0
-1.373 -0.015 -3.547
0.087 -3.803 -0.018
-14.260 -0.350 5.521
In Sm Ho
4 3 1
direct
0.000 0.000 0.373 In
0.000 0.000 0.118 In
0.000 0.000 0.627 In
0.000 0.000 0.882 In
0.500 0.500 0.754 Sm
0.500 0.500 0.500 Sm
0.500 0.500 0.246 Sm
0.500 0.500 0.000 Ho
```


No. 10
Material: Sm3Ho2In6
Method: DFT, PBE-GGA
State: optimized geometry

Computed properties:
energy relative to the elements = 0.051 eV/atom
total moment = 0.0000 μB per atom
calculated total energy = -39.184 eV for the cell shown
space group = No. 139

Structure (POSCAR):
```
Sm3Ho2In6
1.0
5.814 0.000 0.000
0.000 5.814 0.000
-2.907 -2.907 11.180
In Ho Sm
6 2 3
direct
0.927 0.427 0.855 In
0.427 0.927 0.855 In
0.573 0.073 0.145 In
0.710 0.710 0.420 In
0.290 0.290 0.580 In
0.073 0.573 0.145 In
0.574 0.574 0.147 Ho
0.426 0.426 0.853 Ho
0.150 0.150 0.300 Sm
0.000 0.000 0.000 Sm
0.850 0.850 0.700 Sm
```


No. 11
Material: Sm6Ho3In
Method: DFT, PBE-GGA
State: optimized geometry

Computed properties:
energy relative to the elements = 0.043 eV/atom
total moment = 0.0000 μB per atom
calculated total energy = -88.708 eV for the cell shown
space group = No. 58

Structure (POSCAR):
```
Sm6Ho3In
1.0
-1.752 -4.353 2.286
9.648 -4.333 -0.857
2.933 4.423 10.654
In Sm Ho
2 12 6
direct
0.500 0.500 0.500 In
0.000 0.000 0.000 In
0.000 0.923 0.751 Sm
0.000 0.325 0.574 Sm
0.500 0.577 0.251 Sm
0.500 0.825 0.926 Sm
0.000 0.077 0.249 Sm
0.500 0.423 0.749 Sm
0.500 0.779 0.619 Sm
0.500 0.175 0.074 Sm
0.000 0.721 0.119 Sm
0.500 0.221 0.381 Sm
0.000 0.279 0.881 Sm
0.000 0.675 0.426 Sm
0.500 0.500 0.000 Ho
0.000 0.615 0.797 Ho
0.000 0.385 0.203 Ho
0.500 0.115 0.703 Ho
0.500 0.885 0.297 Ho
0.000 0.000 0.500 Ho
```


No. 12
Material: Sm3Ho3In2
Method: DFT, PBE-GGA
State: optimized geometry

Computed properties:
energy relative to the elements = -0.265 eV/atom
total moment = 0.0624 μB per atom
calculated total energy = -35.489 eV for the cell shown
space group = No. 47

Structure (POSCAR):
```
Sm3Ho3In2
1.0
-3.938 0.411 2.823
2.322 -2.358 3.581
3.360 8.540 3.444
Sm Ho In
3 3 2
direct
0.500 0.000 0.500 Sm
0.000 0.500 0.000 Sm
0.000 0.500 0.500 Sm
0.500 0.500 0.751 Ho
0.500 0.000 0.000 Ho
0.500 0.500 0.249 Ho
0.000 0.000 0.247 In
0.000 0.000 0.753 In
```


Please write out number 12 again, unchanged.
Material: Sm3Ho3In2
Method: DFT, PBE-GGA
State: optimized geometry

Computed properties:
energy relative to the elements = -0.265 eV/atom
total moment = 0.0624 μB per atom
calculated total energy = -35.489 eV for the cell shown
space group = No. 47

Structure (POSCAR):
```
Sm3Ho3In2
1.0
-3.938 0.411 2.823
2.322 -2.358 3.581
3.360 8.540 3.444
Sm Ho In
3 3 2
direct
0.500 0.000 0.500 Sm
0.000 0.500 0.000 Sm
0.000 0.500 0.500 Sm
0.500 0.500 0.751 Ho
0.500 0.000 0.000 Ho
0.500 0.500 0.249 Ho
0.000 0.000 0.247 In
0.000 0.000 0.753 In
```


The lowest calculated total energy belongs to which entry? Sm6Ho3In